No. 1
FeAg2As, relaxed, DFT PBE; calculated total energy = -18.171 eV per cell; space group = P4mm, No. 99
1.0
3.0914 0.0000 0.0000
0.0000 3.0914 0.0000
0.0000 0.0000 6.8671
Fe Ag As
1 2 1
Direct
0.0000 0.0000 0.0000
0.0000 0.0000 0.5417
0.5000 0.5000 0.2656
0.5000 0.5000 0.8428

=====

No. 2
FeAg3As, relaxed, DFT PBE; energy above the most stable polymorph in this dataset = 0.0000 eV per atom; calculated total energy = -17.161 eV per cell; space group = Pm-3m, No. 221
1.0
4.8904 0.0000 0.0000
0.0000 4.8904 0.0000
0.0000 0.0000 4.8904
Fe Ag As
1 3 1
Direct
0.0000 0.0000 0.0000
0.0000 0.5000 0.5000
0.5000 0.0000 0.5000
0.5000 0.5000 0.0000
0.5000 0.5000 0.5000

=====

No. 3
FeAg2As, relaxed, DFT PBE; calculated total energy = -51.858 eV per cell; space group = R-3m, No. 166
1.0
2.9213 0.0000 0.0000
-1.4607 2.5299 0.0000
0.0000 0.0000 27.6350
Fe Ag As
3 6 3
Direct
0.0000 0.0000 0.0000
0.3333 0.6667 0.6667
0.6667 0.3333 0.3333
0.0000 0.0000 0.2536
0.0000 0.0000 0.7464
0.3333 0.6667 0.4130
0.3333 0.6667 0.9203
0.6667 0.3333 0.0797
0.6667 0.3333 0.5870
0.0000 0.0000 0.5000
0.3333 0.6667 0.1667
0.6667 0.3333 0.8333

=====

No. 4
FeAg2As, relaxed, DFT PBE; calculated total energy = -35.091 eV per cell; space group = C2/m, No. 12
1.0
5.4403 0.0000 0.0000
0.0000 9.9865 0.0000
-1.3881 0.0000 2.4800
Fe Ag As
2 4 2
Direct
0.0000 0.0000 0.0000
0.5000 0.5000 0.0000
0.2500 0.2500 0.5000
0.2500 0.7500 0.5000
0.7500 0.2500 0.5000
0.7500 0.7500 0.5000
0.0000 0.5000 0.0000
0.5000 0.0000 0.0000

=====

No. 5
FeAg2As, relaxed, DFT PBE; calculated total energy = -34.922 eV per cell; space group = I4/mmm, No. 139
1.0
3.8678 0.0000 0.0000
0.0000 3.8678 0.0000
0.0000 0.0000 8.9683
Fe Ag As
2 4 2
Direct
0.0000 0.0000 0.0000
0.5000 0.5000 0.5000
0.0000 0.5000 0.2500
0.0000 0.5000 0.7500
0.5000 0.0000 0.2500
0.5000 0.0000 0.7500
0.0000 0.0000 0.5000
0.5000 0.5000 0.0000

=====

No. 6
FeAgAs, relaxed, DFT PBE; energy above the most stable polymorph in this dataset = 0.2764 eV per atom; calculated total energy = -15.128 eV per cell; space group = P-6m2, No. 187
1.0
3.9800 0.0000 0.0000
-1.9900 3.4467 0.0000
0.0000 0.0000 3.4661
Fe Ag As
1 1 1
Direct
0.0000 0.0000 0.0000
0.6667 0.3333 0.5000
0.3333 0.6667 0.0000

=====

No. 7
FeAgAs, relaxed, DFT PBE; energy above the most stable polymorph in this dataset = 0.0000 eV per atom; calculated total energy = -31.914 eV per cell; space group = P4/nmm, No. 129
1.0
3.8989 0.0000 0.0000
0.0000 3.8989 0.0000
0.0000 0.0000 6.1292
Fe Ag As
2 2 2
Direct
0.2500 0.7500 0.0000
0.7500 0.2500 0.0000
0.2500 0.2500 0.3555
0.7500 0.7500 0.6445
0.2500 0.2500 0.7871
0.7500 0.7500 0.2129

=====

No. 8
FeAgAs, relaxed, DFT PBE; energy above the most stable polymorph in this dataset = 0.2072 eV per atom; calculated total energy = -30.671 eV per cell; space group = I4mm, No. 107
1.0
3.0898 0.0000 0.0000
0.0000 3.0898 0.0000
0.0000 0.0000 9.9797
Fe Ag As
2 2 2
Direct
0.0000 0.0000 0.0000
0.5000 0.5000 0.5000
0.0000 0.0000 0.6890
0.5000 0.5000 0.1890
0.0000 0.0000 0.3957
0.5000 0.5000 0.8957